Computed, not measured: a relaxed structure of ScCSe2Br at the PBE level of DFT.

offset from the most stable computed form	0.398	eV per atom
formation energy (no corrections)	0.839	eV per atom
total DFT energy (no corrections)	-4.000	eV/atom
mass density	3463	kg/m3

Cell: 5.2400 5.2400 5.1487 Å, 90.00 90.00 90.00°
Last column: nearest neighbours and their distance in Å.
Fractional coordinates of all 5 atoms:
Sc (0.0000, 0.0000, 0.0000)  2 Br 2.57, 4 Se 2.62
C (0.5000, 0.5000, 0.5000)  8 Se 3.67, 4 Br 3.71
Se (0.0000, 0.5000, 0.0000)  2 Sc 2.62
Se (0.5000, 0.0000, 0.0000)  2 Sc 2.62
Br (0.0000, 0.0000, 0.5000)  2 Sc 2.57